VASP calculation (PBE+U) on MnNbO4 after structural relaxation.

Properties
The value obtained for the calculated total energy is -49.958 eV per cell. Its density of states at the Fermi level is 0.7 states/eV/f.u.

Unit cell a=3.882 b=3.882 c=5.842 alpha=109.40 beta=109.40 gamma=90.00
Site moments in Bohr magnetons follow the coordinates.
Fractional positions:
Nb  0.500  0.500  0.000  0.06
O  0.536  0.036  0.072  0.01
O  0.700  0.700  0.400  -0.09
O  0.964  0.464  0.928  0.01
O  0.300  0.300  0.600  -0.09
Mn  0.750  0.250  0.500  4.00